# NaScBi2

A geometry-optimized NaScBi2 structure (PBEsol, the Alexandria database).

As for the crystal system: cubic. The formation energy comes out at -32.5 kJ/mol of atoms. The density of states at the Fermi level comes out at 15.408 states/eV/cell. For the total magnetization, the calculation gives 0.00 Bohr magnetons per cell. Its volume is 26.1 A^3/atom.

The structure belongs to space group Fm-3m (No. 225); the cell edges are 7.472, 7.472 and 7.472 Å and the angles 90.00°, 90.00° and 90.00°. The asymmetric unit holds Na at (0.000, 0.000, 0.000), Sc at (0.000, 0.000, 0.500) and Bi at (0.250, 0.250, 0.250).

# NaSi3Bi

A geometry-optimized NaSi3Bi structure (PBEsol, the Alexandria database).

As for the crystal system: cubic. The density of states at the Fermi level comes out at 3.279 states/eV/cell. As for the formation energy without anion corrections: 1.230 eV per atom. For the total magnetization, the calculation gives 0.00 Bohr magnetons per cell. Its volume is 31.1 A^3/atom.

The structure belongs to space group Pm-3m (No. 221); the cell edges are 5.379, 5.379 and 5.379 Å and the angles 90.00°, 90.00° and 90.00°. The asymmetric unit holds Na at (0.000, 0.000, 0.000), Si at (0.000, 0.500, 0.500) and Bi at (0.500, 0.500, 0.500).

# Na2SnBi2

A geometry-optimized Na2SnBi2 structure (PBEsol, the Alexandria database).

As for the crystal system: tetragonal. The formation energy comes out at -14.3 kJ/mol of atoms. The density of states at the Fermi level comes out at 4.267 states/eV/cell. The value obtained for the relative energy among the computed polymorphs is 0.000 eV per atom. For the total magnetization, the calculation gives 0.00 Bohr magnetons per cell. Its volume is 28.0 A^3/atom.

The structure belongs to space group P4/mbm (No. 127); the cell edges are 9.152, 9.152 and 3.343 Å and the angles 90.00°, 90.00° and 90.00°. The asymmetric unit holds Na at (0.121, 0.379, 0.000), Sn at (0.000, 0.000, 0.500) and Bi at (0.179, 0.679, 0.500).

Q: Number 1 is which compound?
A: NaScBi2

Q: What is the total magnetization in the first record?
A: 0.00 Bohr magnetons per cell